DFT (GGA-PBE) results for a geometry-optimized Zn8Ag2Pt structure.

Structure (extended XYZ):
```
11
Lattice="3.4200 -6.3268 0.0000 3.4200 6.3268 0.0000 -1.8160 0.0000 4.1371" Properties=species:S:1:pos:R:3 pbc="T T T"
Zn 0.2140 1.3395 2.7184
Zn 3.4200 3.7638 0.0000
Zn 0.2140 -1.3395 2.7184
Zn 2.4228 0.0000 0.8402
Zn 2.6011 0.0000 3.2969
Zn 4.8099 1.3395 1.4187
Zn 3.4200 -3.7638 0.0000
Zn 4.8099 -1.3395 1.4187
Ag 2.5119 2.4858 2.0686
Ag 2.5119 -2.4858 2.0686
Pt 0.0000 0.0000 0.0000
```

As for the magnetization: 0.000 μB per formula unit. The energy relative to the elements is -4 kJ/mol of atoms.